[1]
A plane-wave DFT calculation with PBE was carried out for MgIr3 after structural relaxation.

Computed properties:
Calculated total energy ... -0.240 Ha/atom
Calculated density ... 15.75 g cm⁻³
M_tot ... 0.00 μB per formula unit
Symmetry ... P6_3/mmc (194)

a b c (Å): 4.284 4.284 7.972
angles (deg): 90.00 90.00 120.00
Positions (direct):
Mg (0.333, 0.667, 0.250)
Mg (0.667, 0.333, 0.750)
Ir (0.000, 0.000, 0.250)
Ir (0.000, 0.000, 0.750)
Ir (0.333, 0.667, 0.588)
Ir (0.333, 0.667, 0.912)
Ir (0.667, 0.333, 0.088)
Ir (0.667, 0.333, 0.412)

[2]
A plane-wave DFT calculation with PBE was carried out for MgIr2 after structural relaxation.

Computed properties:
Calculated total energy ... -0.247 Ha/atom
Calculated density ... 13.68 g cm⁻³
M_tot ... 0.00 μB per formula unit
Symmetry ... P6_3/mmc (194)

a b c (Å): 5.206 5.206 8.455
angles (deg): 90.00 90.00 120.00
Positions (direct):
Mg (0.333, 0.667, 0.069)
Mg (0.333, 0.667, 0.431)
Mg (0.667, 0.333, 0.569)
Mg (0.667, 0.333, 0.931)
Ir (0.000, 0.000, 0.000)
Ir (0.000, 0.000, 0.500)
Ir (0.172, 0.343, 0.750)
Ir (0.172, 0.828, 0.750)
Ir (0.343, 0.172, 0.250)
Ir (0.657, 0.828, 0.750)
Ir (0.828, 0.172, 0.250)
Ir (0.828, 0.657, 0.250)

[3]
A plane-wave DFT calculation with PBE was carried out for MgIr5 after structural relaxation.

Computed properties:
Calculated total energy ... -0.282 Ha/atom
Calculated density ... 18.45 g cm⁻³
M_tot ... 0.00 μB per formula unit
Symmetry ... Amm2 (38)

a b c (Å): 4.432 7.309 7.309
angles (deg): 21.99 90.00 90.00
Positions (direct):
Mg (0.000, 0.000, 0.000)
Ir (0.000, 0.331, 0.331)
Ir (0.000, 0.667, 0.667)
Ir (0.500, 0.218, 0.218)
Ir (0.500, 0.555, 0.555)
Ir (0.500, 0.890, 0.890)

[4]
A plane-wave DFT calculation with PBE was carried out for Mg13Ir3 after structural relaxation.

Computed properties:
Calculated total energy ... -0.118 Ha/atom
Calculated density ... 4.67 g cm⁻³
M_tot ... 0.00 μB per formula unit
Symmetry ... R-3c (167)

a b c (Å): 9.760 9.760 9.760
angles (deg): 112.14 112.14 112.14
Positions (direct):
Mg (0.000, 0.000, 0.500)
Mg (0.000, 0.500, 0.000)
Mg (0.000, 0.500, 0.500)
Mg (0.097, 0.890, 0.778)
Mg (0.110, 0.222, 0.903)
Mg (0.118, 0.750, 0.382)
Mg (0.222, 0.903, 0.110)
Mg (0.250, 0.250, 0.250)
Mg (0.250, 0.618, 0.882)
Mg (0.278, 0.390, 0.597)
Mg (0.382, 0.118, 0.750)
Mg (0.390, 0.597, 0.278)
Mg (0.403, 0.722, 0.610)
Mg (0.500, 0.000, 0.000)
Mg (0.500, 0.000, 0.500)
Mg (0.500, 0.500, 0.000)
Mg (0.597, 0.278, 0.390)
Mg (0.610, 0.403, 0.722)
Mg (0.618, 0.882, 0.250)
Mg (0.722, 0.610, 0.403)
Mg (0.750, 0.382, 0.118)
Mg (0.750, 0.750, 0.750)
Mg (0.778, 0.097, 0.890)
Mg (0.882, 0.250, 0.618)
Mg (0.890, 0.778, 0.097)
Mg (0.903, 0.110, 0.222)
Ir (0.077, 0.423, 0.250)
Ir (0.250, 0.077, 0.423)
Ir (0.423, 0.250, 0.077)
Ir (0.577, 0.750, 0.923)
Ir (0.750, 0.923, 0.577)
Ir (0.923, 0.577, 0.750)

| no. | energy of formation (eV per formula unit) |
| --- | --- |
| 1 | 2.1 |
| 2 | -0.9 |
| 3 | -0.1 |
| 4 | -4.1 |